No. 1
Density functional theory data (GGA-PBE) for a geometry-optimized Hf2Cd2N structure. Values from VASP.

Cell and atoms, written as Quantum ESPRESSO input:
```
&SYSTEM
  ibrav = 0, nat = 10, ntyp = 3
/
ATOMIC_SPECIES
N 14.01 N.upf
Hf 178.49 Hf.upf
Cd 112.41 Cd.upf
ATOMIC_POSITIONS angstrom
N 0.000 0.000 0.000
N -0.347 1.269 -4.005
Hf 0.061 -0.491 -5.258
Hf -0.657 2.484 -5.811
Hf -0.754 3.030 -2.751
Hf -0.037 0.055 -2.198
Cd -2.466 -1.533 -3.931
Cd -2.998 0.589 -6.209
Cd -3.505 2.810 -4.021
Cd -2.973 0.687 -1.743
CELL_PARAMETERS angstrom
-1.265 5.167 -2.690
0.571 -2.629 -5.320
-5.277 -1.262 0.057
```

total magnetic moment	0.00	μB per formula unit

No. 2
Density functional theory data (GGA-PBE) for a geometry-optimized HfCdNO2 structure. Values from VASP.

Cell and atoms, written as Quantum ESPRESSO input:
```
&SYSTEM
  ibrav = 0, nat = 5, ntyp = 4
/
ATOMIC_SPECIES
N 14.01 N.upf
Hf 178.49 Hf.upf
O 16.00 O.upf
Cd 112.41 Cd.upf
ATOMIC_POSITIONS angstrom
N 0.000 0.000 2.148
Hf 0.000 0.000 0.000
O 0.000 2.038 0.000
O 2.038 0.000 0.000
Cd 2.038 2.038 2.148
CELL_PARAMETERS angstrom
4.075 0.000 0.000
0.000 4.075 0.000
0.000 0.000 4.295
```

total magnetic moment	1.01	μB per formula unit

No. 3
Density functional theory data (GGA-PBE) for a geometry-optimized HfCdNO2 structure. Values from VASP.

Cell and atoms, written as Quantum ESPRESSO input:
```
&SYSTEM
  ibrav = 0, nat = 5, ntyp = 4
/
ATOMIC_SPECIES
N 14.01 N.upf
Hf 178.49 Hf.upf
O 16.00 O.upf
Cd 112.41 Cd.upf
ATOMIC_POSITIONS angstrom
N 0.000 0.000 2.092
Hf 2.003 2.003 2.092
O 0.000 2.003 0.000
O 2.003 0.000 0.000
Cd 0.000 0.000 0.000
CELL_PARAMETERS angstrom
4.006 0.000 0.000
0.000 4.006 0.000
0.000 0.000 4.184
```

total magnetic moment	0.00	μB per formula unit

No. 4
Density functional theory data (GGA-PBE) for a geometry-optimized Hf4PaCdN8 structure. Values from VASP.

Cell and atoms, written as Quantum ESPRESSO input:
```
&SYSTEM
  ibrav = 0, nat = 14, ntyp = 4
/
ATOMIC_SPECIES
Hf 178.49 Hf.upf
Pa 231.04 Pa.upf
Cd 112.41 Cd.upf
N 14.01 N.upf
ATOMIC_POSITIONS angstrom
Hf 6.532 3.771 0.695
Hf 9.798 3.790 2.645
Hf 8.181 6.591 2.645
Hf 11.415 6.591 2.645
Pa 6.532 3.771 4.655
Cd 9.798 5.657 0.016
N 6.532 5.746 3.817
N 8.242 2.784 3.817
N 4.822 2.784 3.817
N 3.266 1.886 1.509
N 6.532 1.865 1.491
N 4.882 4.724 1.491
N 8.183 4.724 1.491
N 9.798 5.657 3.886
CELL_PARAMETERS angstrom
6.532 0.000 0.000
3.266 5.657 0.000
3.266 1.886 5.326
```

total magnetic moment	0.00	μB per formula unit

No. 5
Density functional theory data (GGA-PBE) for a geometry-optimized HfCdS2N structure. Values from VASP.

Cell and atoms, written as Quantum ESPRESSO input:
```
&SYSTEM
  ibrav = 0, nat = 5, ntyp = 4
/
ATOMIC_SPECIES
S 32.06 S.upf
N 14.01 N.upf
Hf 178.49 Hf.upf
Cd 112.41 Cd.upf
ATOMIC_POSITIONS angstrom
S 2.129 0.156 1.148
S -0.146 -2.346 0.590
N -0.959 0.491 1.713
Hf 1.023 -1.700 3.451
Cd 0.000 0.000 0.000
CELL_PARAMETERS angstrom
-0.293 -4.693 1.180
4.258 0.311 2.295
-1.919 0.981 3.427
```

total magnetic moment	0.00	μB per formula unit

No. 6
Density functional theory data (GGA-PBE) for a geometry-optimized HfCdS2N structure. Values from VASP.

Cell and atoms, written as Quantum ESPRESSO input:
```
&SYSTEM
  ibrav = 0, nat = 5, ntyp = 4
/
ATOMIC_SPECIES
S 32.06 S.upf
N 14.01 N.upf
Hf 178.49 Hf.upf
Cd 112.41 Cd.upf
ATOMIC_POSITIONS angstrom
S -0.820 -2.385 -0.103
S -0.520 0.071 2.469
N 1.889 -0.667 0.417
Hf 0.000 0.000 0.000
Cd 0.550 -2.981 2.782
CELL_PARAMETERS angstrom
-1.039 0.143 4.938
-1.639 -4.770 -0.207
3.778 -1.334 0.834
```

total magnetic moment	1.16	μB per formula unit

No. 7
Density functional theory data (GGA-PBE) for a geometry-optimized Hf2ScCdN structure. Values from VASP.

Cell and atoms, written as Quantum ESPRESSO input:
```
&SYSTEM
  ibrav = 0, nat = 5, ntyp = 4
/
ATOMIC_SPECIES
Sc 44.96 Sc.upf
N 14.01 N.upf
Hf 178.49 Hf.upf
Cd 112.41 Cd.upf
ATOMIC_POSITIONS angstrom
Sc 0.000 0.000 0.000
N 2.512 2.656 2.512
Hf 0.000 0.000 2.512
Hf 2.512 0.000 0.000
Cd 0.000 2.656 0.000
CELL_PARAMETERS angstrom
5.024 0.000 0.000
0.000 5.312 0.000
0.000 0.000 5.024
```

total magnetic moment	1.43	μB per formula unit

No. 8
Density functional theory data (GGA-PBE) for a geometry-optimized Hf2ScCdN structure. Values from VASP.

Cell and atoms, written as Quantum ESPRESSO input:
```
&SYSTEM
  ibrav = 0, nat = 5, ntyp = 4
/
ATOMIC_SPECIES
Sc 44.96 Sc.upf
N 14.01 N.upf
Hf 178.49 Hf.upf
Cd 112.41 Cd.upf
ATOMIC_POSITIONS angstrom
Sc 0.000 0.000 2.240
N 0.000 0.000 0.000
Hf 0.000 2.221 0.000
Hf 2.221 0.000 0.000
Cd 2.221 2.221 2.240
CELL_PARAMETERS angstrom
4.443 0.000 0.000
0.000 4.443 0.000
0.000 0.000 4.480
```

total magnetic moment	0.00	μB per formula unit

Number 1: formation energy without anion corrections -0.4467 eV per atom. Number 2: formation energy without anion corrections -1.2743 eV per atom. Number 3: formation energy without anion corrections 0.1301 eV per atom. Number 4: formation energy without anion corrections -1.1856 eV per atom. Number 5: formation energy without anion corrections 0.9157 eV per atom. Number 6: formation energy without anion corrections -0.2859 eV per atom. Number 7: formation energy without anion corrections 2.2050 eV per atom. Number 8: formation energy without anion corrections -0.8262 eV per atom.